1.
HfCrCuS4 | PBE | relaxed

Cell lengths 6.850, 6.851, 12.275 Å; angles 90.00, 90.00, 90.00 degrees
Sites, in units of the cell vectors:
S (0.855, 0.738, 0.869)
S (0.855, 0.262, 0.869)
S (0.117, 0.739, 0.597)
S (0.117, 0.261, 0.597)
S (0.617, 0.261, 0.403)
S (0.850, 0.000, 0.213)
S (0.729, 0.000, 0.612)
S (0.680, 0.500, 0.649)
S (0.295, 0.500, 0.842)
S (0.617, 0.739, 0.403)
S (0.355, 0.738, 0.131)
S (0.229, 0.000, 0.388)
S (0.355, 0.262, 0.131)
S (0.795, 0.500, 0.158)
S (0.180, 0.500, 0.351)
S (0.350, 0.000, 0.787)
Cu (0.651, 0.000, 0.846)
Cu (0.151, 0.000, 0.154)
Cu (0.855, 0.500, 0.345)
Cu (0.355, 0.500, 0.655)
Cr (0.115, 0.500, 0.175)
Cr (0.996, 0.500, 0.735)
Cr (0.615, 0.500, 0.825)
Cr (0.496, 0.500, 0.265)
Hf (0.876, 0.000, 0.422)
Hf (0.508, 0.000, 0.252)
Hf (0.008, 0.000, 0.748)
Hf (0.376, 0.000, 0.578)

Values from the calculation:
As for the formation energy (no corrections): -459 kJ/mol of formula units. For the energy above the most stable polymorph in this dataset, the calculation gives 324 meV/atom. The total DFT energy (no corrections) comes out at -6.419 eV per atom.



2.
NdYOs | PBE | relaxed

Cell lengths 4.861, 4.861, 4.861 Å; angles 60.00, 60.00, 60.00 degrees
Sites, in units of the cell vectors:
Os (0.250, 0.250, 0.250)
Y (0.000, 0.000, 0.000)
Nd (0.500, 0.500, 0.500)

Values from the calculation:
For the energy above the most stable polymorph in this dataset, the calculation gives 12 meV/atom. The formation energy is -0.098 eV per atom. The total DFT energy (no corrections) comes out at -7.585 eV per atom.



3.
Ba2CaInSb | PBE | relaxed

Cell lengths 6.640, 5.651, 6.640 Å; angles 90.00, 90.00, 90.00 degrees
Sites, in units of the cell vectors:
In (0.500, 0.500, 0.500)
Ca (0.000, 0.000, 0.000)
Sb (0.000, 0.500, 0.000)
Ba (0.000, 0.000, 0.500)
Ba (0.500, 0.000, 0.000)

Values from the calculation:
As for the formation energy (no corrections): 98 kJ/mol of formula units. For the energy above the most stable polymorph in this dataset, the calculation gives 551 meV/atom. The total DFT energy (no corrections) comes out at -2.339 eV per atom.



4.
Sm2Al4CoPt3 | PBE | relaxed

Cell lengths 4.199, 4.199, 10.453 Å; angles 90.00, 90.00, 90.00 degrees
Sites, in units of the cell vectors:
Pt (0.000, 0.000, 0.500)
Pt (0.000, 0.500, 0.137)
Pt (0.500, 0.000, 0.863)
Al (0.500, 0.500, 0.000)
Al (0.000, 0.000, 0.000)
Al (0.000, 0.500, 0.378)
Al (0.500, 0.000, 0.622)
Sm (0.500, 0.000, 0.257)
Sm (0.000, 0.500, 0.743)
Co (0.500, 0.500, 0.500)

Values from the calculation:
The formation energy is -0.966 eV per atom. The total DFT energy (no corrections) comes out at -5.930 eV per atom.



5.
BaHfSi2Se8 | PBE | relaxed

Cell lengths 6.342, 6.342, 9.280 Å; angles 90.00, 90.00, 120.00 degrees
Sites, in units of the cell vectors:
Se (0.977, 0.320, 0.677)
Se (0.343, 0.023, 0.677)
Se (0.657, 0.977, 0.323)
Se (0.320, 0.343, 0.323)
Se (0.667, 0.333, 0.012)
Se (0.333, 0.667, 0.988)
Se (0.023, 0.680, 0.323)
Se (0.680, 0.657, 0.677)
Ba (0.000, 0.000, 0.000)
Hf (0.000, 0.000, 0.500)
Si (0.667, 0.333, 0.257)
Si (0.333, 0.667, 0.743)

Values from the calculation:
As for the formation energy (no corrections): -861 kJ/mol of formula units. The total DFT energy (no corrections) comes out at -4.961 eV per atom.



6.
RbSnHg2I | PBE | relaxed

Cell lengths 5.822, 6.529, 5.822 Å; angles 90.00, 90.00, 90.00 degrees
Sites, in units of the cell vectors:
Hg (0.500, 0.000, 0.000)
Hg (0.000, 0.000, 0.500)
Sn (0.000, 0.000, 0.000)
I (0.000, 0.500, 0.000)
Rb (0.500, 0.500, 0.500)

Values from the calculation:
As for the formation energy (no corrections): -169 kJ/mol of formula units. For the energy above the most stable polymorph in this dataset, the calculation gives 0 meV/atom. The total DFT energy (no corrections) comes out at -1.774 eV per atom.